Entry from the Open Quantum Materials Database: an optimized crystal structure of GdMgAgTe3 (PBE).

abc: 7.438 7.438 11.368
angles: 90.00 90.00 147.46
Positions (direct):
Gd  0.000  0.000  0.000
Gd  0.000  0.000  0.500
Mg  0.222  0.778  0.750
Mg  0.778  0.222  0.250
Ag  0.480  0.520  0.250
Ag  0.520  0.480  0.750
Te  0.114  0.886  0.250
Te  0.349  0.651  0.069
Te  0.349  0.651  0.431
Te  0.651  0.349  0.569
Te  0.651  0.349  0.931
Te  0.886  0.114  0.750

Output
Symmetry: No. 63
Relative energy among the computed polymorphs in eV/atom: 0.026